## InGeAs (PBE-GGA)

Data for crystalline InGeAs at its relaxed geometry.

Space-group type   Immm, No. 71
ΔE_f   0.15 eV per atom
Uncorrected energy   -3.8501 eV per atom
Relative energy among the computed polymorphs   0.134 eV/atom

```
InGeAs
1.0
-1.456 3.058 7.772
1.456 -3.058 7.772
1.456 3.058 -7.772
In Ge As
2 2 2
Cartesian
0.000 0.000 2.761
0.000 0.000 12.783
1.456 1.358 0.000
0.000 1.700 7.772
0.000 0.000 5.782
0.000 0.000 9.762
```

## InGeAs3 (PBE-GGA)

Data for crystalline InGeAs3 at its relaxed geometry.

Space-group type   Pm-3m, No. 221
ΔE_f   0.60 eV per atom
Uncorrected energy   -3.6628 eV per atom
Relative energy among the computed polymorphs   0.000 eV/atom

```
InGeAs3
1.0
5.012 0.000 0.000
0.000 5.012 0.000
0.000 0.000 5.012
In Ge As
1 1 3
Cartesian
0.000 0.000 0.000
2.506 2.506 2.506
0.000 2.506 2.506
2.506 0.000 2.506
2.506 2.506 0.000
```

## In2Ge2As (PBE-GGA)

Data for crystalline In2Ge2As at its relaxed geometry.

Space-group type   P4/mbm, No. 127
ΔE_f   0.30 eV per atom
Uncorrected energy   -3.5752 eV per atom
Relative energy among the computed polymorphs   0.094 eV/atom

```
In2Ge2As
1.0
7.766 0.000 0.000
0.000 7.766 0.000
0.000 0.000 3.969
In Ge As
4 4 2
Cartesian
1.374 2.509 0.000
2.509 6.392 0.000
5.257 1.374 0.000
6.392 5.257 0.000
0.907 4.790 1.984
2.976 0.907 1.984
4.790 6.859 1.984
6.859 2.976 1.984
0.000 0.000 0.000
3.883 3.883 0.000
```